DFT (PBE-GGA) results for a geometry-optimized TaFe2Cl structure.

Output
Excess energy over the best structure of this formula in the dataset ... 716 meV per atom
E_tot ... -6.92 eV per atom
Density ... 9.44 g cm⁻³
Formation energy from raw total energies ... 0.74 eV/atom

a = 4.5378 Å, b = 3.5661 Å, c = 3.5661 Å
α = 90.00°, β = 90.00°, γ = 90.00°
Closest atoms and distances in Å follow each position.
Element x y z (fractional)
Cl 0.5000 0.0000 0.5000  4 Ta 2.52
Fe 0.0000 0.0000 0.0000  4 Fe 2.52
Fe 0.0000 0.5000 0.5000  4 Fe 2.52
Ta 0.5000 0.5000 0.0000  4 Cl 2.52


DFT (PBE-GGA) results for a geometry-optimized TaFe2Cl structure.

Output
Excess energy over the best structure of this formula in the dataset ... 217 meV per atom
E_tot ... -7.42 eV per atom
Density ... 8.79 g cm⁻³
Formation energy from raw total energies ... 0.24 eV/atom

a = 7.8673 Å, b = 7.8673 Å, c = 7.8673 Å
α = 22.39°, β = 22.39°, γ = 22.39°
Closest atoms and distances in Å follow each position.
Element x y z (fractional)
Cl 0.7500 0.7500 0.7500  6 Fe 2.61
Fe 0.9997 0.9997 0.9997  3 Ta 2.60, 3 Cl 2.61
Fe 0.5003 0.5003 0.5003  3 Ta 2.60, 3 Cl 2.61
Ta 0.2500 0.2500 0.2500  6 Fe 2.60


DFT (PBE-GGA) results for a geometry-optimized Ta2FeCl structure.

Output
Excess energy over the best structure of this formula in the dataset ... 1007 meV per atom
E_tot ... -7.50 eV per atom
Density ... 11.01 g cm⁻³
Formation energy from raw total energies ... 1.00 eV/atom

a = 4.5897 Å, b = 4.5897 Å, c = 4.5897 Å
α = 60.00°, β = 60.00°, γ = 60.00°
Closest atoms and distances in Å follow each position.
Element x y z (fractional)
Cl 0.5000 0.5000 0.5000  4 Ta 2.81, 4 Fe 2.81
Fe 0.2500 0.2500 0.2500  4 Cl 2.81, 4 Ta 2.81
Ta 0.0000 0.0000 0.0000  4 Ta 2.81, 4 Fe 2.81
Ta 0.7500 0.7500 0.7500  4 Cl 2.81, 4 Ta 2.81


DFT (PBE-GGA) results for a geometry-optimized TaFeCl2 structure.

Output
Excess energy over the best structure of this formula in the dataset ... 1099 meV per atom
E_tot ... -5.38 eV per atom
Density ... 6.88 g cm⁻³
Formation energy from raw total energies ... 0.62 eV/atom

a = 5.5678 Å, b = 5.5678 Å, c = 6.1998 Å
α = 63.32°, β = 63.32°, γ = 90.00°
Closest atoms and distances in Å follow each position.
Element x y z (fractional)
Cl 0.5912 0.1250 0.2500  2 Fe 2.20, 2 Ta 2.42
Cl 0.1588 0.6250 0.2500  2 Fe 2.20, 2 Ta 2.42
Cl 0.3750 0.4088 0.7500  2 Fe 2.20, 2 Ta 2.42
Cl 0.8750 0.8412 0.7500  2 Fe 2.20, 2 Ta 2.42
Fe 0.5000 0.5000 0.0000  4 Cl 2.20
Fe 0.2500 0.7500 0.5000  4 Cl 2.20
Ta 0.0000 0.0000 0.0000  4 Cl 2.42
Ta 0.7500 0.2500 0.5000  4 Cl 2.42


DFT (PBE-GGA) results for a geometry-optimized TaFeCl structure.

Output
Excess energy over the best structure of this formula in the dataset ... 159 meV per atom
E_tot ... -7.21 eV per atom
Density ... 8.20 g cm⁻³
Formation energy from raw total energies ... 0.17 eV/atom

a = 6.5395 Å, b = 6.5395 Å, c = 6.5395 Å
α = 153.62°, β = 153.62°, γ = 37.65°
Closest atoms and distances in Å follow each position.
Element x y z (fractional)
Cl 0.0298 0.0298 0.0000  4 Ta 2.83, 4 Cl 2.98
Fe 0.2884 0.2884 0.0000  4 Ta 2.49
Ta 0.6818 0.6818 0.0000  4 Fe 2.49


DFT (PBE-GGA) results for a geometry-optimized TaFe2Cl structure.

Output
Excess energy over the best structure of this formula in the dataset ... 94 meV per atom
E_tot ... -7.54 eV per atom
Density ... 7.88 g cm⁻³
Formation energy from raw total energies ... 0.11 eV/atom

a = 2.9393 Å, b = 2.9394 Å, c = 8.0004 Å
α = 90.00°, β = 90.00°, γ = 90.00°
Closest atoms and distances in Å follow each position.
Element x y z (fractional)
Cl 0.5000 0.5000 0.6843  4 Ta 2.72, 4 Cl 2.94
Fe 0.0000 0.0000 0.0956  4 Fe 2.44
Fe 0.5000 0.5000 0.2559  4 Fe 2.44, 4 Ta 2.66
Ta 0.0000 0.0000 0.4642  5 Fe 2.66-2.95, 4 Cl 2.72, 4 Ta 2.94


DFT (PBE-GGA) results for a geometry-optimized Ta2FeCl structure.

Output
Excess energy over the best structure of this formula in the dataset ... 150 meV per atom
E_tot ... -8.36 eV per atom
Density ... 9.54 g cm⁻³
Formation energy from raw total energies ... 0.15 eV/atom

a = 3.0436 Å, b = 3.0436 Å, c = 8.5109 Å
α = 90.00°, β = 90.00°, γ = 90.00°
Closest atoms and distances in Å follow each position.
Element x y z (fractional)
Cl 0.0000 0.0000 0.4321  4 Ta 2.72, 4 Cl 3.04
Fe 0.5000 0.5000 0.8420  4 Ta 2.49
Ta 0.0000 0.0000 0.9896  4 Fe 2.49
Ta 0.5000 0.5000 0.2363  4 Cl 2.72, 8 Ta 3.01-3.04


DFT (PBE-GGA) results for a geometry-optimized TaFeCl2 structure.

Output
Excess energy over the best structure of this formula in the dataset ... 880 meV per atom
E_tot ... -5.60 eV per atom
Density ... 7.53 g cm⁻³
Formation energy from raw total energies ... 0.40 eV/atom

a = 2.8919 Å, b = 5.5190 Å, c = 4.2542 Å
α = 90.00°, β = 90.00°, γ = 90.00°
Closest atoms and distances in Å follow each position.
Element x y z (fractional)
Cl 0.0000 0.0000 0.0000  4 Fe 2.57
Cl 0.5000 0.5000 0.0000  4 Ta 2.57
Fe 0.5000 0.0000 0.5000  4 Cl 2.57
Ta 0.0000 0.5000 0.5000  4 Cl 2.57


DFT (PBE-GGA) results for a geometry-optimized TaFeCl2 structure.

Output
Excess energy over the best structure of this formula in the dataset ... 702 meV per atom
E_tot ... -5.78 eV per atom
Density ... 6.20 g cm⁻³
Formation energy from raw total energies ... 0.22 eV/atom

a = 3.1662 Å, b = 3.1662 Å, c = 10.1086 Å
α = 90.00°, β = 90.00°, γ = 125.57°
Closest atoms and distances in Å follow each position.
Element x y z (fractional)
Cl 0.0000 0.0000 0.9508  2 Ta 2.49
Cl 0.0000 0.0000 0.5492  2 Ta 2.49
Fe 0.5000 0.5000 0.2500  6 Fe 2.90-3.17
Ta 0.5000 0.5000 0.7500  4 Cl 2.49


DFT (PBE-GGA) results for a geometry-optimized Ta2FeCl structure.

Output
Excess energy over the best structure of this formula in the dataset ... 237 meV per atom
E_tot ... -8.27 eV per atom
Density ... 11.65 g cm⁻³
Formation energy from raw total energies ... 0.23 eV/atom

a = 8.5801 Å, b = 8.5801 Å, c = 8.5801 Å
α = 20.00°, β = 20.00°, γ = 20.00°
Closest atoms and distances in Å follow each position.
Element x y z (fractional)
Cl 0.2500 0.2500 0.2500  6 Ta 2.80, 6 Cl 2.98
Fe 0.7500 0.7500 0.7500  6 Ta 2.63
Ta 0.0043 0.0043 0.0043  3 Fe 2.63, 3 Cl 2.80
Ta 0.4957 0.4957 0.4957  3 Fe 2.63, 3 Cl 2.80


DFT (PBE-GGA) results for a geometry-optimized Ta2FeCl structure.

Output
Excess energy over the best structure of this formula in the dataset ... 528 meV per atom
E_tot ... -7.98 eV per atom
Density ... 11.98 g cm⁻³
Formation energy from raw total energies ... 0.52 eV/atom

a = 4.5740 Å, b = 4.5740 Å, c = 4.5740 Å
α = 130.22°, β = 116.09°, γ = 85.09°
Closest atoms and distances in Å follow each position.
Element x y z (fractional)
Cl 0.7500 0.2500 0.5000  8 Ta 2.62-2.90
Fe 0.2500 0.7500 0.5000  4 Ta 2.50
Ta 0.0126 0.0126 0.0000  2 Fe 2.50, 2 Cl 2.62
Ta 0.4874 0.4874 0.0000  2 Fe 2.50, 2 Cl 2.62


DFT (PBE-GGA) results for a geometry-optimized TaFe2Cl structure.

Output
Excess energy over the best structure of this formula in the dataset ... 482 meV per atom
E_tot ... -7.15 eV per atom
Density ... 9.38 g cm⁻³
Formation energy from raw total energies ... 0.50 eV/atom

a = 5.0653 Å, b = 5.0653 Å, c = 5.0653 Å
α = 146.07°, β = 125.82°, γ = 65.49°
Closest atoms and distances in Å follow each position.
Element x y z (fractional)
Cl 0.2291 0.7291 0.5000  2 Fe 2.41, 2 Ta 2.62
Fe 0.0051 0.0051 0.0000  2 Fe 2.41, 2 Cl 2.41
Fe 0.7824 0.2824 0.5000  2 Fe 2.41
Ta 0.4833 0.4833 0.0000  2 Cl 2.62, 6 Fe 2.75-2.87


DFT (PBE-GGA) results for a geometry-optimized TaFeCl2 structure.

Output
Excess energy over the best structure of this formula in the dataset ... 736 meV per atom
E_tot ... -5.74 eV per atom
Density ... 7.39 g cm⁻³
Formation energy from raw total energies ... 0.26 eV/atom

a = 4.3046 Å, b = 3.0557 Å, c = 5.2878 Å
α = 96.52°, β = 90.00°, γ = 90.00°
Closest atoms and distances in Å follow each position.
Element x y z (fractional)
Cl 0.0000 0.9542 0.9971  2 Ta 2.56, 2 Fe 2.64, 1 Cl 2.77
Cl 0.0000 0.5458 0.5029  2 Ta 2.56, 2 Fe 2.64, 1 Cl 2.77
Fe 0.5000 0.2500 0.2500  4 Cl 2.64, 2 Ta 2.90
Ta 0.5000 0.7500 0.7500  4 Cl 2.56


DFT (PBE-GGA) results for a geometry-optimized Ta2FeCl structure.

Output
Excess energy over the best structure of this formula in the dataset ... 371 meV per atom
E_tot ... -8.14 eV per atom
Density ... 11.84 g cm⁻³
Formation energy from raw total energies ... 0.37 eV/atom

a = 4.7850 Å, b = 4.7850 Å, c = 4.9481 Å
α = 71.31°, β = 71.31°, γ = 36.59°
Closest atoms and distances in Å follow each position.
Element x y z (fractional)
Cl 0.5200 0.5200 0.5651  5 Ta 2.54-2.72, 2 Fe 2.72
Fe 0.2492 0.2492 0.1941  2 Ta 2.36
Ta 0.9621 0.9621 0.0485  2 Fe 2.36
Ta 0.7687 0.7687 0.6923  3 Cl 2.54-2.63